# 1
The following is a DFT calculation (PBE-GGA) of an optimized crystal structure of Hf3ZrRu4.

Structure (extended XYZ):
```
8
Lattice="-0.204 -1.919 2.604 2.605 -3.151 -2.119 7.575 3.922 3.482" Properties=species:S:1:pos:R:3 pbc="T T T"
Hf 1.800 0.025 2.176
Hf 4.988 -0.575 1.984
Ru 0.000 0.000 0.000
Ru 3.787 1.961 1.741
Ru 3.213 -0.586 -0.181
Hf 5.571 1.977 3.910
Ru 6.967 1.357 1.544
Zr 1.201 -2.535 0.243
```

Output
- calculated total energy (eV per cell) = -81.7
- formation energy from the elements (kJ per mole of atoms) = -74.4
- crystal system = orthorhombic

# 2
The following is a DFT calculation (PBE-GGA) of an optimized crystal structure of ZrTlRu2.

Structure (extended XYZ):
```
4
Lattice="-2.997 -2.280 2.946 -0.109 -2.232 4.227 -1.531 3.748 3.310" Properties=species:S:1:pos:R:3 pbc="T T T"
Tl -3.478 -0.573 7.862
Zr -1.159 -0.191 2.621
Ru -2.318 -0.474 5.243
Ru -3.107 -4.420 7.171
```

Output
- calculated total energy (eV per cell) = -28.9
- formation energy from the elements (kJ per mole of atoms) = 12.7
- excess energy over the best structure of this formula in the dataset (eV/atom) = 0.229
- crystal system = monoclinic